# 1
Y2BeNi | meta-GGA SCAN | single point on PBEsol structure

## Properties
- Energy relative to the elements: 117 meV/atom
- Density of states at the Fermi level: 9.516 states/eV/cell

```
Y2BeNi
1.0
3.765 0.000 0.000
-1.882 3.260 0.000
0.000 0.000 20.893
Y Be Ni
6 3 3
direct
0.000 0.000 0.244 Y
0.000 0.000 0.756 Y
0.333 0.667 0.422 Y
0.333 0.667 0.911 Y
0.667 0.333 0.089 Y
0.667 0.333 0.578 Y
0.000 0.000 0.000 Be
0.333 0.667 0.667 Be
0.667 0.333 0.333 Be
0.000 0.000 0.500 Ni
0.333 0.667 0.167 Ni
0.667 0.333 0.833 Ni
```


# 2
La2Ti3O9 | meta-GGA SCAN | single point on PBEsol structure

## Properties
- Energy relative to the elements, uncorrected: -3.455 eV per atom
- Density of states at the Fermi level: 0.000 states/eV/cell
- Excess energy over the best structure of this formula in the dataset: 112 meV/atom

```
La2Ti3O9
1.0
6.856 0.000 0.000
-3.428 5.937 0.000
0.000 0.000 10.571
La Ti O
4 6 18
direct
0.333 0.667 0.048 La
0.333 0.667 0.452 La
0.667 0.333 0.548 La
0.667 0.333 0.952 La
0.083 0.770 0.750 Ti
0.230 0.313 0.750 Ti
0.313 0.083 0.250 Ti
0.687 0.917 0.750 Ti
0.770 0.687 0.250 Ti
0.917 0.230 0.250 Ti
0.065 0.616 0.609 O
0.065 0.616 0.891 O
0.080 0.794 0.250 O
0.206 0.287 0.250 O
0.287 0.080 0.750 O
0.384 0.449 0.609 O
0.384 0.449 0.891 O
0.449 0.065 0.109 O
0.449 0.065 0.391 O
0.551 0.935 0.609 O
0.551 0.935 0.891 O
0.616 0.551 0.109 O
0.616 0.551 0.391 O
0.713 0.920 0.250 O
0.794 0.713 0.750 O
0.920 0.206 0.750 O
0.935 0.384 0.109 O
0.935 0.384 0.391 O
```


# 3
POsRu2 | meta-GGA SCAN | single point on PBEsol structure

## Properties
- Energy relative to the elements: 422 meV/atom
- Density of states at the Fermi level: 4.334 states/eV/cell

```
POsRu2
1.0
3.709 0.000 0.000
0.000 3.709 0.000
0.000 0.000 3.821
P Os Ru
1 1 2
direct
0.000 0.000 0.000 P
0.500 0.500 0.000 Os
0.000 0.500 0.500 Ru
0.500 0.000 0.500 Ru
```


# 4
KSr2TaI | meta-GGA SCAN | single point on PBEsol structure

## Properties
- Energy relative to the elements, uncorrected: 1.472 eV per atom
- Density of states at the Fermi level: 5.835 states/eV/cell

```
KSr2TaI
1.0
6.255 0.000 0.000
0.000 6.255 0.000
0.000 0.000 5.011
K Sr Ta I
1 2 1 1
direct
0.000 0.000 0.000 K
0.000 0.500 0.000 Sr
0.500 0.000 0.000 Sr
0.000 0.000 0.500 Ta
0.500 0.500 0.500 I
```


# 5
La2Au | meta-GGA SCAN | single point on PBEsol structure

## Properties
- Energy relative to the elements: -660 meV/atom
- Density of states at the Fermi level: 12.829 states/eV/cell

```
La2Au
1.0
3.743 0.000 0.000
0.000 16.795 0.000
0.000 0.000 5.442
La Au
8 4
direct
0.000 0.070 0.250 La
0.000 0.227 0.750 La
0.000 0.773 0.250 La
0.000 0.930 0.750 La
0.500 0.273 0.250 La
0.500 0.430 0.750 La
0.500 0.570 0.250 La
0.500 0.727 0.750 La
0.000 0.416 0.250 Au
0.000 0.584 0.750 Au
0.500 0.084 0.750 Au
0.500 0.916 0.250 Au
```


# 6
Ba4Ta10CoO30 | meta-GGA SCAN | single point on PBEsol structure

## Properties
- Energy relative to the elements, uncorrected: -3.111 eV per atom
- Density of states at the Fermi level: 0.000 states/eV/cell

```
Ba4Ta10CoO30
1.0
-3.899 5.102 7.560
3.899 -5.102 7.560
3.899 5.102 -7.560
Ba Ta Co O
4 10 1 30
direct
0.000 0.000 0.000 Ba
0.394 0.894 0.500 Ba
0.404 0.404 0.000 Ba
0.985 0.485 0.500 Ba
0.005 0.071 0.433 Ta
0.005 0.572 0.935 Ta
0.194 0.444 0.249 Ta
0.194 0.945 0.751 Ta
0.385 0.318 0.566 Ta
0.385 0.819 0.067 Ta
0.637 0.071 0.065 Ta
0.637 0.572 0.567 Ta
0.753 0.318 0.933 Ta
0.753 0.819 0.434 Ta
0.718 0.218 0.500 Co
0.019 0.816 0.203 O
0.156 0.066 0.647 O
0.156 0.509 0.090 O
0.176 0.176 0.000 O
0.188 0.212 0.519 O
0.188 0.669 0.975 O
0.212 0.712 0.500 O
0.229 0.368 0.400 O
0.229 0.829 0.861 O
0.346 0.045 0.301 O
0.403 0.566 0.836 O
0.419 0.066 0.910 O
0.419 0.509 0.353 O
0.521 0.257 0.735 O
0.521 0.786 0.265 O
0.558 0.401 0.576 O
0.558 0.982 0.157 O
0.613 0.816 0.797 O
0.688 0.324 0.364 O
0.693 0.212 0.025 O
0.693 0.669 0.481 O
0.730 0.566 0.164 O
0.744 0.045 0.699 O
0.825 0.401 0.843 O
0.825 0.982 0.424 O
0.862 0.076 0.214 O
0.862 0.649 0.786 O
0.960 0.324 0.636 O
0.968 0.368 0.139 O
0.968 0.829 0.600 O
```


# 7
TaMn2Mo | meta-GGA SCAN | single point on PBEsol structure

## Properties
- Energy relative to the elements: 2 meV/atom
- Density of states at the Fermi level: 2.523 states/eV/cell
- Excess energy over the best structure of this formula in the dataset: 0 meV/atom

```
TaMn2Mo
1.0
3.028 0.000 0.000
0.000 3.028 0.000
0.000 0.000 5.951
Ta Mn Mo
1 2 1
direct
0.000 0.000 0.000 Ta
0.000 0.000 0.479 Mn
0.500 0.500 0.236 Mn
0.500 0.500 0.707 Mo
```


# 8
ScIr2 | meta-GGA SCAN | single point on PBEsol structure

## Properties
- Energy relative to the elements: 72 meV/atom
- Density of states at the Fermi level: 7.713 states/eV/cell

```
ScIr2
1.0
6.077 0.000 0.000
0.000 6.077 0.000
0.000 0.000 5.255
Sc Ir
4 8
direct
0.000 0.000 0.250 Sc
0.000 0.000 0.750 Sc
0.500 0.500 0.250 Sc
0.500 0.500 0.750 Sc
0.145 0.355 0.000 Ir
0.145 0.645 0.500 Ir
0.355 0.145 0.500 Ir
0.355 0.855 0.000 Ir
0.645 0.145 0.000 Ir
0.645 0.855 0.500 Ir
0.855 0.355 0.500 Ir
0.855 0.645 0.000 Ir
```


# 9
CaTaNb2Se | meta-GGA SCAN | single point on PBEsol structure

## Properties
- Energy relative to the elements, uncorrected: 2.201 eV per atom
- Density of states at the Fermi level: 6.535 states/eV/cell

```
CaTaNb2Se
1.0
4.692 0.000 0.000
0.000 4.692 0.000
0.000 0.000 4.813
Ca Ta Nb Se
1 1 2 1
direct
0.000 0.000 0.000 Ca
0.500 0.500 0.500 Ta
0.000 0.500 0.000 Nb
0.500 0.000 0.000 Nb
0.000 0.000 0.500 Se
```


# 10
NaMg3Nb | meta-GGA SCAN | single point on PBEsol structure

## Properties
- Energy relative to the elements: 1162 meV/atom
- Density of states at the Fermi level: 1.803 states/eV/cell

```
NaMg3Nb
1.0
4.777 0.000 0.000
0.000 4.777 0.000
0.000 0.000 4.777
Na Mg Nb
1 3 1
direct
0.000 0.000 0.000 Na
0.000 0.000 0.500 Mg
0.000 0.500 0.000 Mg
0.500 0.000 0.000 Mg
0.500 0.500 0.500 Nb
```


# 11
BeNi2Cl | meta-GGA SCAN | single point on PBEsol structure

## Properties
- Energy relative to the elements, uncorrected: 0.530 eV per atom
- Density of states at the Fermi level: 5.517 states/eV/cell
- Excess energy over the best structure of this formula in the dataset: 487 meV/atom

```
BeNi2Cl
1.0
3.702 0.000 0.000
0.000 3.702 0.000
0.000 0.000 6.411
Be Ni Cl
2 4 2
direct
0.000 0.000 0.000 Be
0.500 0.500 0.500 Be
0.000 0.500 0.250 Ni
0.000 0.500 0.750 Ni
0.500 0.000 0.250 Ni
0.500 0.000 0.750 Ni
0.000 0.000 0.500 Cl
0.500 0.500 0.000 Cl
```


# 12
Y2TlPb | meta-GGA SCAN | single point on PBEsol structure

## Properties
- Energy relative to the elements: -643 meV/atom
- Density of states at the Fermi level: 4.751 states/eV/cell

```
Y2TlPb
1.0
7.029 0.000 0.000
0.000 8.579 0.000
0.000 0.000 3.487
Y Tl Pb
4 2 2
direct
0.250 0.250 0.000 Y
0.250 0.750 0.000 Y
0.750 0.250 0.000 Y
0.750 0.750 0.000 Y
0.000 0.000 0.500 Tl
0.500 0.500 0.500 Tl
0.000 0.500 0.500 Pb
0.500 0.000 0.500 Pb
```


# 13
Zn2Au | meta-GGA SCAN | single point on PBEsol structure

## Properties
- Energy relative to the elements: -214 meV/atom
- Density of states at the Fermi level: 1.485 states/eV/cell

```
Zn2Au
1.0
3.156 0.000 0.000
0.000 3.460 0.000
0.000 0.000 8.198
Zn Au
4 2
direct
0.000 0.000 0.169 Zn
0.000 0.000 0.831 Zn
0.500 0.500 0.331 Zn
0.500 0.500 0.669 Zn
0.000 0.000 0.500 Au
0.500 0.500 0.000 Au
```


# 14
Cs2AgF2 | meta-GGA SCAN | single point on PBEsol structure

## Properties
- Energy relative to the elements, uncorrected: -1.691 eV per atom
- Density of states at the Fermi level: 4.377 states/eV/cell

```
Cs2AgF2
1.0
5.764 0.000 0.000
0.000 5.764 0.000
0.000 0.000 10.787
Cs Ag F
4 2 4
direct
0.000 0.500 0.250 Cs
0.000 0.500 0.750 Cs
0.500 0.000 0.250 Cs
0.500 0.000 0.750 Cs
0.000 0.000 0.000 Ag
0.500 0.500 0.500 Ag
0.000 0.000 0.212 F
0.000 0.000 0.788 F
0.500 0.500 0.288 F
0.500 0.500 0.712 F
```


# 15
ZnSb2TeI | meta-GGA SCAN | single point on PBEsol structure

## Properties
- Energy relative to the elements, uncorrected: 0.848 eV per atom
- Density of states at the Fermi level: 3.754 states/eV/cell

```
ZnSb2TeI
1.0
5.711 0.000 0.000
0.000 5.711 0.000
0.000 0.000 5.969
Zn Sb Te I
1 2 1 1
direct
0.000 0.000 0.000 Zn
0.000 0.500 0.500 Sb
0.500 0.000 0.500 Sb
0.500 0.500 0.500 Te
0.500 0.500 0.000 I
```


# 16
Ba3RhPb | meta-GGA SCAN | single point on PBEsol structure

## Properties
- Energy relative to the elements: 472 meV/atom
- Density of states at the Fermi level: 9.820 states/eV/cell

```
Ba3RhPb
1.0
6.448 0.000 0.000
0.000 6.448 0.000
0.000 0.000 6.448
Ba Rh Pb
3 1 1
direct
0.000 0.000 0.500 Ba
0.000 0.500 0.000 Ba
0.500 0.000 0.000 Ba
0.500 0.500 0.500 Rh
0.000 0.000 0.000 Pb
```


# 17
ScCu3 | meta-GGA SCAN | single point on PBEsol structure

## Properties
- Energy relative to the elements: -123 meV/atom
- Density of states at the Fermi level: 6.389 states/eV/cell

```
ScCu3
1.0
4.065 0.000 0.000
0.000 4.065 0.000
0.000 0.000 13.284
Sc Cu
4 12
direct
0.000 0.000 0.130 Sc
0.000 0.000 0.870 Sc
0.500 0.500 0.370 Sc
0.500 0.500 0.630 Sc
0.000 0.000 0.377 Cu
0.000 0.000 0.623 Cu
0.000 0.500 0.000 Cu
0.000 0.500 0.250 Cu
0.000 0.500 0.500 Cu
0.000 0.500 0.750 Cu
0.500 0.000 0.000 Cu
0.500 0.000 0.250 Cu
0.500 0.000 0.500 Cu
0.500 0.000 0.750 Cu
0.500 0.500 0.123 Cu
0.500 0.500 0.877 Cu
```


# 18
Zr3AlN | meta-GGA SCAN | single point on PBEsol structure

## Properties
- Energy relative to the elements, uncorrected: -1.111 eV per atom
- Density of states at the Fermi level: 6.054 states/eV/cell

```
Zr3AlN
1.0
1.670 -5.727 0.000
1.670 5.727 0.000
0.000 0.000 8.937
Zr Al N
6 2 2
direct
0.044 0.956 0.750 Zr
0.373 0.627 0.542 Zr
0.373 0.627 0.958 Zr
0.627 0.373 0.042 Zr
0.627 0.373 0.458 Zr
0.956 0.044 0.250 Zr
0.253 0.747 0.250 Al
0.747 0.253 0.750 Al
0.000 0.000 0.000 N
0.000 0.000 0.500 N
```


# 19
Mn3HOs | meta-GGA SCAN | single point on PBEsol structure

## Properties
- Density of states at the Fermi level: 15.470 states/eV/cell
- Excess energy over the best structure of this formula in the dataset: 9 meV/atom

```
Mn3HOs
1.0
4.086 -5.145 0.000
4.086 5.145 0.000
-0.019 0.000 4.467
Mn H Os
12 4 4
direct
0.063 0.194 0.580 Mn
0.063 0.683 0.912 Mn
0.174 0.558 0.417 Mn
0.194 0.063 0.080 Mn
0.317 0.937 0.588 Mn
0.442 0.826 0.083 Mn
0.558 0.174 0.917 Mn
0.683 0.063 0.412 Mn
0.806 0.937 0.920 Mn
0.826 0.442 0.583 Mn
0.937 0.317 0.088 Mn
0.937 0.806 0.420 Mn
0.061 0.939 0.750 H
0.186 0.814 0.250 H
0.814 0.186 0.750 H
0.939 0.061 0.250 H
0.301 0.437 0.920 Os
0.437 0.301 0.420 Os
0.563 0.699 0.580 Os
0.699 0.563 0.080 Os
```


# 20
Cr2OsRu | meta-GGA SCAN | single point on PBEsol structure

## Properties
- Energy relative to the elements: 167 meV/atom
- Density of states at the Fermi level: 4.696 states/eV/cell
- Excess energy over the best structure of this formula in the dataset: 51 meV/atom

```
Cr2OsRu
1.0
2.846 0.000 0.000
0.000 4.188 0.000
0.000 0.000 4.315
Cr Os Ru
2 1 1
direct
0.000 0.000 0.000 Cr
0.500 0.000 0.500 Cr
0.000 0.500 0.500 Os
0.500 0.500 0.000 Ru
```


no.,E (eV per atom)
1,-18.9366
2,-17.0540
3,-37.5608
4,-29.7688
5,-52.4494
6,-25.9616
7,-34.4928
8,-52.0732
9,-30.3159
10,-9.2910
11,-10.6393
12,-51.5989
13,-32.2767
14,-24.5046
15,-31.5582
16,-45.1690
17,-15.0817
18,-22.9387
19,-25.9717
20,-35.7019